Entry from Alexandria: a relaxed structure of Eu3Co5O12 (PBE+U).

As for the final energy: -7.41 eV/atom. The magnetization comes out at 5.915 μB/f.u. Its density is 6.58 g/cm3.

It has space group Ia-3d (No. 230), with a = 12.394 Å, b = 12.394 Å, c = 12.394 Å, α = 90.00°, β = 90.00° and γ = 90.00°. The asymmetric unit holds Eu at (0.000, 0.250, 0.125), Co at (0.000, 0.000, 0.000), Co at (0.000, 0.250, 0.375) and O at (0.029, 0.051, 0.646).